No. 1
A geometry-optimized MnZn2CdAu4 structure, computed with PBE.

Values from the calculation:
Its space-group type is R-3m, No. 166.

a b c (Å): 4.586 4.586 7.998
angles (deg): 73.34 73.34 60.00
Each line ends with the local moment (μB).
Positions (direct):
Mn  0.500  0.500  0.500  3.89
Zn  0.750  0.750  0.749  -0.01
Zn  0.250  0.250  0.251  -0.01
Cd  0.000  0.000  0.000  0.00
Au  0.381  0.381  0.858  0.01
Au  0.871  0.871  0.388  0.03
Au  0.129  0.129  0.612  0.03
Au  0.619  0.619  0.142  0.01

=====

No. 2
A geometry-optimized Cd2MoAu structure, computed with PBE.

Values from the calculation:
Its energy above the lowest structure with this stoichiometry is 86 meV per atom. Its space-group type is P2/m, No. 10.

a b c (Å): 2.798 5.398 5.898
angles (deg): 56.23 90.00 90.00
Positions (direct):
Au  0.000  0.000  0.500
Cd  0.000  0.000  0.000
Cd  0.500  0.500  0.000
Mo  0.500  0.500  0.500

=====

No. 3
A geometry-optimized CdMoAu2 structure, computed with PBE.

Values from the calculation:
Its space-group type is P4/mmm, No. 123.

a b c (Å): 2.926 2.926 8.327
angles (deg): 90.00 90.00 90.01
Positions (direct):
Au  0.000  0.000  0.986
Au  0.000  0.000  0.514
Cd  0.500  0.500  0.250
Mo  0.500  0.500  0.750

=====

No. 4
A geometry-optimized Cd2MoAu structure, computed with PBE.

Values from the calculation:
Its energy above the lowest structure with this stoichiometry is 213 meV per atom. Its space-group type is F-43m, No. 216.

a b c (Å): 4.755 4.755 4.755
angles (deg): 60.00 60.00 60.00
Each line ends with the local moment (μB).
Positions (direct):
Au  0.500  0.500  0.500  0.06
Cd  0.000  0.000  0.000  0.01
Cd  0.250  0.250  0.250  -0.03
Mo  0.750  0.750  0.750  2.07

=====

Formation enthalpy at 0 K list, top to bottom, in eV/atom: -0.14, 0.27, 0.09, 0.40
Magnetization list, top to bottom, in μB per formula unit: 4.2, 0.0, 0.0, 2.3